1.
The following is a DFT calculation (PBE) of crystalline SrLa2Tm at its relaxed geometry.

Cell: 5.2664 5.3727 5.3727 Å, 90.00 90.00 90.00°
With the nearest neighbours (Å) after each atom.
Atoms (fractional coordinates):
La1 0.0000 0.0000 0.5000  4 Tm 3.76, 4 Sr 3.76, 4 La 3.80
La2 0.0000 0.5000 0.0000  4 Tm 3.76, 4 Sr 3.76, 4 La 3.80
Tm1 0.5000 0.5000 0.5000  8 La 3.76, 4 Sr 3.80
Sr1 0.5000 0.0000 0.0000  8 La 3.76, 4 Tm 3.80

Results
ΔE_f   0.1749 eV/atom
Energy relative to the lowest polymorph listed for this composition   77.9 meV/atom
Symmetry   P4/mmm, No. 123
DOS(E_F)   7.1 states/eV/cell

2.
The following is a DFT calculation (PBE) of crystalline AcSm2Ir at its relaxed geometry.

Cell: 6.6480 7.4949 9.9714 Å, 90.00 90.00 90.00°
With the nearest neighbours (Å) after each atom.
Atoms (fractional coordinates):
Sm1 0.1693 0.6731 0.4310  2 Ir 2.89-2.91
Ac1 0.8580 0.0387 0.2500  2 Ir 2.97-3.14
Sm2 0.6693 0.8269 0.9310  2 Ir 2.89-2.91
Ac2 0.3580 0.4613 0.7500  2 Ir 2.97-3.14
Ac3 0.6420 0.5387 0.2500  2 Ir 2.97-3.14
Ac4 0.1420 0.9613 0.7500  2 Ir 2.97-3.14
Sm3 0.8307 0.3269 0.5690  2 Ir 2.89-2.91
Sm4 0.3307 0.1731 0.4310  2 Ir 2.89-2.91
Sm5 0.6693 0.8269 0.5690  2 Ir 2.89-2.91
Ir1 0.0804 0.3818 0.2500  4 Sm 2.89-2.91, 2 Ac 2.97-3.14
Ir2 0.4196 0.8818 0.2500  4 Sm 2.89-2.91, 2 Ac 2.97-3.14
Ir3 0.5804 0.1182 0.7500  4 Sm 2.89-2.91, 2 Ac 2.97-3.14
Sm6 0.1693 0.6731 0.0690  2 Ir 2.89-2.91
Ir4 0.9196 0.6182 0.7500  4 Sm 2.89-2.91, 2 Ac 2.97-3.14
Sm7 0.8307 0.3269 0.9310  2 Ir 2.89-2.91
Sm8 0.3307 0.1731 0.0690  2 Ir 2.89-2.91

Results
ΔE_f   -0.4604 eV/atom
Energy relative to the lowest polymorph listed for this composition   0.0 meV/atom
Symmetry   Pnma, No. 62
DOS(E_F)   18.0 states/eV/cell

3.
The following is a DFT calculation (PBE) of crystalline ZnCr2Cu at its relaxed geometry.

Cell: 4.7481 4.7481 4.1505 Å, 77.77 77.77 32.63°
With the nearest neighbours (Å) after each atom.
Atoms (fractional coordinates):
Cu1 0.7500 0.7500 0.7500  4 Zn 2.47, 6 Cr 2.62-2.72, 2 Cu 2.67
Cr1 0.0032 0.0032 0.9957  6 Cr 2.45-2.67, 3 Cu 2.62-2.72, 3 Zn 2.67-2.69
Zn1 0.2500 0.2500 0.2500  4 Cu 2.47, 2 Zn 2.67, 6 Cr 2.67-2.69
Cr2 0.4968 0.4968 0.5043  6 Cr 2.45-2.67, 3 Cu 2.62-2.72, 3 Zn 2.67-2.69

Results
ΔE_f   0.2941 eV/atom
Symmetry   C2/m, No. 12
DOS(E_F)   3.0 states/eV/cell

4.
The following is a DFT calculation (PBE) of crystalline CrNi2Ru at its relaxed geometry.

Cell: 4.1212 4.5192 5.0583 Å, 90.00 90.00 90.00°
With the nearest neighbours (Å) after each atom.
Atoms (fractional coordinates):
Cr1 0.7500 0.6612 0.7500  4 Ru 2.51-2.53, 8 Ni 2.55-2.63
Ni1 0.2500 0.8487 0.9990  4 Ni 2.47-2.54, 4 Cr 2.55-2.63, 4 Ru 2.57-2.60
Ni2 0.2500 0.8487 0.5009  4 Ni 2.47-2.54, 4 Cr 2.55-2.63, 4 Ru 2.57-2.60
Cr2 0.2500 0.3388 0.2500  4 Ru 2.51-2.53, 8 Ni 2.55-2.63
Ni3 0.7500 0.1513 0.4991  4 Ni 2.47-2.54, 4 Cr 2.55-2.63, 4 Ru 2.57-2.60
Ni4 0.7500 0.1513 0.0010  4 Ni 2.47-2.54, 4 Cr 2.55-2.63, 4 Ru 2.57-2.60
Ru1 0.2500 0.3443 0.7500  4 Cr 2.51-2.53, 8 Ni 2.57-2.60
Ru2 0.7500 0.6557 0.2500  4 Cr 2.51-2.53, 8 Ni 2.57-2.60

Results
ΔE_f   0.0083 eV/atom
Symmetry   Pmmn, No. 59
DOS(E_F)   11.0 states/eV/cell

5.
The following is a DFT calculation (PBE) of crystalline MgScIn2 at its relaxed geometry.

Cell: 7.9408 7.9408 6.4496 Å, 52.00 52.00 90.00°
With the nearest neighbours (Å) after each atom.
Atoms (fractional coordinates):
In1 0.8750 0.8616 0.7500  2 Mg 2.85, 2 Sc 2.99, 2 In 3.18
Mg1 0.2500 0.7500 0.5000  4 In 2.85, 2 Sc 3.17
Sc1 0.7500 0.2500 0.5000  4 In 2.99, 2 Mg 3.17
Mg2 0.5000 0.5000 0.0000  4 In 2.85, 2 Sc 3.17
In2 0.1384 0.6250 0.2500  2 Mg 2.85, 2 Sc 2.99, 2 In 3.18
Sc2 0.0000 0.0000 0.0000  4 In 2.99, 2 Mg 3.17
In3 0.3750 0.3884 0.7500  2 Mg 2.85, 2 Sc 2.99, 2 In 3.18
In4 0.6116 0.1250 0.2500  2 Mg 2.85, 2 Sc 2.99, 2 In 3.18

Results
ΔE_f   0.0020 eV/atom
Symmetry   I-42d, No. 122
DOS(E_F)   6.1 states/eV/cell

6.
The following is a DFT calculation (PBE) of crystalline TaSiNi2 at its relaxed geometry.

Cell: 4.4187 4.4187 4.6152 Å, 79.23 79.23 36.56°
With the nearest neighbours (Å) after each atom.
Atoms (fractional coordinates):
Ni1 0.4886 0.4886 0.5135  3 Si 2.50-2.64, 3 Ta 2.54-2.68, 6 Ni 2.62-2.77
Ta1 0.2500 0.2500 0.2500  6 Ni 2.54-2.68, 4 Si 2.69, 2 Ta 2.77
Ni2 0.0114 0.0114 0.9865  3 Si 2.50-2.64, 3 Ta 2.54-2.68, 6 Ni 2.62-2.77
Si1 0.7500 0.7500 0.7500  6 Ni 2.50-2.64, 4 Ta 2.69, 2 Si 2.77

Results
ΔE_f (raw)   -0.289 eV per atom
Symmetry   C2/m, No. 12
DOS(E_F)   1.5 states/eV/cell

7.
The following is a DFT calculation (PBE) of crystalline TaBeSCl2 at its relaxed geometry.

Cell: 4.2040 4.2040 4.8828 Å, 90.00 90.00 90.00°
With the nearest neighbours (Å) after each atom.
Atoms (fractional coordinates):
S1 0.0000 0.0000 0.5000  2 Be 2.44
Ta1 0.5000 0.5000 0.5000  4 S 2.97, 8 Cl 3.22
Cl1 0.0000 0.5000 0.0000  2 Be 2.10
Cl2 0.5000 0.0000 0.0000  2 Be 2.10
Be1 0.0000 0.0000 0.0000  4 Cl 2.10

Results
ΔE_f (raw)   0.239 eV per atom
Energy relative to the lowest polymorph listed for this composition   183.7 meV/atom
Symmetry   P4/mmm, No. 123
DOS(E_F)   3.6 states/eV/cell

8.
The following is a DFT calculation (PBE) of crystalline BPdW3 at its relaxed geometry.

Cell: 4.6998 4.6998 4.6998 Å, 90.00 90.00 90.00°
With the nearest neighbours (Å) after each atom.
Atoms (fractional coordinates):
B1 0.5000 0.5000 0.5000  12 W 3.32
W1 0.0000 0.5000 0.0000  2 Pd 2.35
W2 0.5000 0.0000 0.0000  2 Pd 2.35
W3 0.0000 0.0000 0.5000  2 Pd 2.35
Pd1 0.0000 0.0000 0.0000  6 W 2.35

Results
ΔE_f   3.1770 eV/atom
Energy relative to the lowest polymorph listed for this composition   2929.4 meV/atom
Symmetry   Pm-3m, No. 221
DOS(E_F)   5.5 states/eV/cell

9.
The following is a DFT calculation (PBE) of crystalline Ba2NbFeBr at its relaxed geometry.

Cell: 6.2684 4.9613 6.2684 Å, 90.00 90.00 90.00°
With the nearest neighbours (Å) after each atom.
Atoms (fractional coordinates):
Fe1 0.5000 0.5000 0.5000  8 Ba 4.00, 4 Br 4.43
Ba1 0.0000 0.0000 0.5000  2 Nb 3.13
Br1 0.0000 0.5000 0.0000  2 Nb 2.48
Nb1 0.0000 0.0000 0.0000  2 Br 2.48
Ba2 0.5000 0.0000 0.0000  2 Nb 3.13

Results
ΔE_f (raw)   0.860 eV per atom
Symmetry   P4/mmm, No. 123
DOS(E_F)   6.0 states/eV/cell

10.
The following is a DFT calculation (PBE) of crystalline AlCu3Hg at its relaxed geometry.

Cell: 4.5536 4.5536 4.5536 Å, 90.00 90.00 90.00°
With the nearest neighbours (Å) after each atom.
Atoms (fractional coordinates):
Cu1 0.0000 0.0000 0.5000  2 Al 2.28
Cu2 0.5000 0.0000 0.0000  2 Al 2.28
Hg1 0.5000 0.5000 0.5000  12 Cu 3.22
Al1 0.0000 0.0000 0.0000  6 Cu 2.28
Cu3 0.0000 0.5000 0.0000  2 Al 2.28

Results
ΔE_f   0.6079 eV/atom
Energy relative to the lowest polymorph listed for this composition   0.0 meV/atom
Symmetry   Pm-3m, No. 221
DOS(E_F)   2.4 states/eV/cell

11.
The following is a DFT calculation (PBE) of crystalline Hf2InPd7 at its relaxed geometry.

Cell: 4.2841 7.7261 7.7261 Å, 124.11 90.00 90.00°
With the nearest neighbours (Å) after each atom.
Atoms (fractional coordinates):
Pd1 0.5000 0.7071 0.9209  1 Hf 2.58, 4 Pd 2.69-2.83
In1 0.0000 0.0000 0.0000  10 Pd 2.72-2.92
Pd2 0.5000 0.0791 0.2929  1 Hf 2.58, 4 Pd 2.69-2.83
Pd3 0.0000 0.1992 0.8008  2 Hf 2.57, 1 In 2.72, 4 Pd 2.83
Pd4 0.5000 0.2929 0.0791  1 Hf 2.58, 4 Pd 2.69-2.83
Pd5 0.5000 0.5000 0.5000  2 Hf 2.69, 4 Pd 2.70
Hf1 0.5000 0.6969 0.3031  5 Pd 2.57-2.69
Pd6 0.0000 0.8008 0.1992  2 Hf 2.57, 1 In 2.72, 4 Pd 2.83
Pd7 0.5000 0.9209 0.7071  1 Hf 2.58, 4 Pd 2.69-2.83
Hf2 0.5000 0.3031 0.6969  5 Pd 2.57-2.69

Results
ΔE_f   -0.1071 eV/atom
Symmetry   Cmmm, No. 65
DOS(E_F)   6.0 states/eV/cell

12.
The following is a DFT calculation (PBE) of crystalline Cs2RbBr2 at its relaxed geometry.

Cell: 9.9248 9.9248 5.0700 Å, 90.00 90.00 90.00°
With the nearest neighbours (Å) after each atom.
Atoms (fractional coordinates):
Br1 0.8445 0.6555 0.0000  6 Cs 3.73-3.95, 2 Rb 3.75
Cs1 0.6496 0.8504 0.5000  6 Br 3.73-3.95
Rb1 0.5000 0.5000 0.0000  4 Br 3.75
Cs2 0.1496 0.6496 0.5000  6 Br 3.73-3.95
Cs3 0.3504 0.1496 0.5000  6 Br 3.73-3.95
Rb2 0.0000 0.0000 0.0000  4 Br 3.75
Br2 0.6555 0.1555 0.0000  6 Cs 3.73-3.95, 2 Rb 3.75
Br3 0.1555 0.3445 0.0000  6 Cs 3.73-3.95, 2 Rb 3.75
Br4 0.3445 0.8445 0.0000  6 Cs 3.73-3.95, 2 Rb 3.75
Cs4 0.8504 0.3504 0.5000  6 Br 3.73-3.95

Results
ΔE_f (raw)   -1.323 eV per atom
Energy relative to the lowest polymorph listed for this composition   40.3 meV/atom
Symmetry   P4/mbm, No. 127
DOS(E_F)   3.0 states/eV/cell

13.
The following is a DFT calculation (PBE) of crystalline Ba2IrRu at its relaxed geometry.

Cell: 5.2600 5.2600 5.2600 Å, 60.00 60.00 60.00°
With the nearest neighbours (Å) after each atom.
Atoms (fractional coordinates):
Ir1 0.5000 0.5000 0.5000  4 Ba 3.22, 4 Ru 3.22
Ba1 0.0000 0.0000 0.0000  4 Ba 3.22, 4 Ru 3.22
Ba2 0.7500 0.7500 0.7500  4 Ba 3.22, 4 Ir 3.22
Ru1 0.2500 0.2500 0.2500  4 Ir 3.22, 4 Ba 3.22

Results
ΔE_f   0.8039 eV/atom
Symmetry   F-43m, No. 216
DOS(E_F)   5.8 states/eV/cell

14.
The following is a DFT calculation (PBE) of crystalline DyYNi at its relaxed geometry.

Cell: 3.6245 6.9250 6.4665 Å, 106.48 106.28 74.78°
With the nearest neighbours (Å) after each atom.
Atoms (fractional coordinates):
Y1 0.0729 0.5337 0.0762  3 Ni 2.83-2.84
Y2 0.7427 0.6809 0.5612  3 Ni 2.83-2.84
Dy1 0.3202 0.9990 0.0358  4 Ni 2.79-2.93
Ni1 0.7853 0.2915 0.2584  1 Ni 2.73, 4 Dy 2.79-2.93, 3 Y 2.83-2.84
Ni2 0.0307 0.9229 0.3789  1 Ni 2.73, 4 Dy 2.79-2.93, 3 Y 2.83-2.84
Dy2 0.4954 0.2156 0.6015  4 Ni 2.79-2.93

Results
ΔE_f   -0.2997 eV/atom
Energy relative to the lowest polymorph listed for this composition   0.0 meV/atom
Symmetry   C2/m, No. 12
DOS(E_F)   6.4 states/eV/cell

15.
The following is a DFT calculation (PBE) of crystalline Nb5GaAu at its relaxed geometry.

Cell: 5.6539 5.6539 9.5907 Å, 89.65 89.65 118.96°
With the nearest neighbours (Å) after each atom.
Atoms (fractional coordinates):
Nb1 0.6259 0.9405 0.7234  3 Nb 2.55-2.78, 1 Au 2.73
Au1 0.4329 0.5671 0.2500  8 Nb 2.73-2.97
Nb2 0.9405 0.6259 0.2234  3 Nb 2.55-2.78, 1 Au 2.73
Nb3 0.3251 0.7207 0.9950  1 Au 2.76, 5 Nb 2.78-3.01, 1 Ga 2.95
Nb4 0.2793 0.6749 0.5050  1 Au 2.76, 5 Nb 2.78-3.01, 1 Ga 2.95
Nb5 0.8746 0.1254 0.2500  4 Nb 2.68-2.92, 2 Ga 2.69, 2 Au 2.93
Nb6 0.3741 0.0595 0.2766  3 Nb 2.55-2.78, 1 Au 2.73
Nb7 0.1254 0.8746 0.7500  4 Nb 2.68-2.92, 2 Ga 2.69, 2 Au 2.93
Au2 0.5671 0.4329 0.7500  8 Nb 2.73-2.97
Nb8 0.7207 0.3251 0.4950  1 Au 2.76, 5 Nb 2.78-3.01, 1 Ga 2.95
Nb9 0.6749 0.2793 0.0050  1 Au 2.76, 5 Nb 2.78-3.01, 1 Ga 2.95
Nb10 0.0595 0.3741 0.7766  3 Nb 2.55-2.78, 1 Au 2.73
Ga1 0.0000 0.0000 0.0000  6 Nb 2.69-2.95
Ga2 0.0000 0.0000 0.5000  6 Nb 2.69-2.95

Results
ΔE_f   0.1756 eV/atom
Symmetry   C2/c, No. 15
DOS(E_F)   11.6 states/eV/cell